3
Lattice="2.732 0.003 0.000 -1.040 2.526 0.000 -0.846 -1.264 6.640" Properties=species:S:1:pos:R:3 comment="TaZnOs, relaxed, DFT GGA-PBEsol" dos_at_fermi_per_ev_fu=2.48 crystal_system=orthorhombic polymorph_energy_ev_per_fu=0.71 magmom_total_mub_per_fu=0.0 pbc="T T T"
Zn 0.846 1.264 2.170
Os 0.000 0.000 0.001
Ta 0.000 0.000 4.468

=====

5
Lattice="3.952 0.000 0.000 0.000 3.952 0.000 -1.976 -1.976 5.629" Properties=species:S:1:pos:R:3 comment="ZrRh2W2, relaxed, DFT GGA-PBEsol" dos_at_fermi_per_ev_fu=2.92 crystal_system=tetragonal final_energy_ev_per_cell=-51.9 magmom_total_mub_per_fu=0.0 pbc="T T T"
Rh 1.976 0.000 2.814
W 0.000 0.000 4.389
Rh 0.000 1.976 2.814
W 1.976 1.976 1.240
Zr 0.000 0.000 0.000

=====

5
Lattice="-2.130 -3.222 -0.151 2.576 -1.573 -2.769 2.117 0.703 4.599" Properties=species:S:1:pos:R:3 comment="NbOF3, relaxed, DFT GGA-PBEsol" e_form_raw_ev_per_atom=-2.795 dos_at_fermi_per_ev_fu=0.00 crystal_system=orthorhombic magmom_total_mub_per_fu=0.1 pbc="T T T"
Nb 0.000 0.000 0.000
O -1.065 -1.611 -0.076
F 1.288 -0.787 -1.385
F 1.520 -3.337 0.280
F 1.043 -0.755 1.399

=====

3
Lattice="-0.659 1.875 3.690 -3.252 -1.324 -2.289 0.179 -4.074 2.102" Properties=species:S:1:pos:R:3 comment="BaCuRh, relaxed, DFT GGA-PBEsol" dos_at_fermi_per_ev_fu=0.93 crystal_system=hexagonal final_energy_ev_per_cell=-14.5 magmom_total_mub_per_fu=0.0 pbc="T T T"
Rh -1.434 -1.229 2.748
Cu -2.298 -2.295 0.755
Ba 0.000 0.000 0.000

=====

4
Lattice="-1.264 -1.328 -1.916 -2.170 -2.397 3.093 -3.355 3.111 0.057" Properties=species:S:1:pos:R:3 comment="Cu2RePt, relaxed, DFT GGA-PBEsol" dos_at_fermi_per_ev_fu=2.96 crystal_system=orthorhombic polymorph_energy_ev_per_fu=0.86 magmom_total_mub_per_fu=0.0 pbc="T T T"
Cu 0.000 0.000 0.000
Pt -1.717 -1.862 0.588
Re -2.762 0.357 1.575
Cu -2.310 0.891 -0.929

=====

4
Lattice="-0.719 -3.625 1.976 0.016 -2.223 -4.072 6.372 3.880 0.551" Properties=species:S:1:pos:R:3 comment="Sr2CrNi, relaxed, DFT GGA-PBEsol" dos_at_fermi_per_ev_fu=2.47 crystal_system=orthorhombic final_energy_ev_per_cell=-18.4 magmom_total_mub_per_fu=4.2 pbc="T T T"
Ni 2.030 -0.950 -2.119
Sr 2.766 -1.820 1.006
Sr 5.572 -1.486 -1.808
Cr 0.619 -2.603 -1.218

=====

4
Lattice="-2.539 -0.453 -0.777 -1.012 -0.603 3.656 -1.118 5.296 0.564" Properties=species:S:1:pos:R:3 comment="Zn2RePt, relaxed, DFT GGA-PBEsol" dos_at_fermi_per_ev_fu=2.49 crystal_system=orthorhombic polymorph_energy_ev_per_fu=0.00 magmom_total_mub_per_fu=0.0 pbc="T T T"
Re -2.615 3.449 1.862
Pt -0.559 2.646 0.282
Zn -2.050 0.774 1.578
Zn -0.004 0.020 0.002

=====

6
Lattice="4.902 0.793 0.318 -1.278 4.808 -0.396 -2.166 -2.511 3.713" Properties=species:S:1:pos:R:3 comment="KBF4, relaxed, DFT GGA-PBEsol" e_form_raw_ev_per_atom=-3.038 dos_at_fermi_per_ev_fu=0.00 crystal_system=monoclinic magmom_total_mub_per_fu=0.1 pbc="T T T"
F 2.418 -0.026 2.064
K 3.890 2.007 0.895
F -0.608 3.947 0.415
F -0.825 2.115 3.095
F 1.315 2.710 0.664
B 0.797 4.016 0.532

=====

4
Lattice="2.996 0.000 0.000 0.000 2.996 0.000 0.000 0.000 6.990" Properties=species:S:1:pos:R:3 comment="MnAlAg2, relaxed, DFT GGA-PBEsol" dos_at_fermi_per_ev_fu=1.68 crystal_system=tetragonal final_energy_ev_per_cell=-19.9 magmom_total_mub_per_fu=3.9 pbc="T T T"
Ag 0.000 0.000 5.275
Mn 1.498 1.498 3.495
Al 1.498 1.498 0.000
Ag 0.000 0.000 1.716

=====

4
Lattice="3.704 0.000 0.000 0.000 3.704 0.000 0.000 0.000 5.721" Properties=species:S:1:pos:R:3 comment="ScCd2Si, relaxed, DFT GGA-PBEsol" e_form_raw_ev_per_atom=-0.043 dos_at_fermi_per_ev_fu=3.35 crystal_system=tetragonal magmom_total_mub_per_fu=0.0 pbc="T T T"
Sc 1.852 1.852 0.000
Si 1.852 1.852 2.860
Cd 0.000 0.000 4.248
Cd 0.000 0.000 1.473

=====

4
Lattice="-0.343 1.424 2.396 -2.080 -2.963 1.464 4.692 -2.290 2.032" Properties=species:S:1:pos:R:3 comment="MoPt2Au, relaxed, DFT GGA-PBEsol" dos_at_fermi_per_ev_fu=3.13 crystal_system=orthorhombic polymorph_energy_ev_per_fu=0.39 magmom_total_mub_per_fu=0.0 pbc="T T T"
Mo 1.134 -1.915 2.946
Pt 1.236 -0.603 0.535
Pt 3.455 -1.687 1.497
Au -1.212 -0.770 1.930

=====

5
Lattice="4.535 0.000 0.000 0.000 4.535 0.000 -2.267 -2.267 5.577" Properties=species:S:1:pos:R:3 comment="CsLi2Cu2, relaxed, DFT GGA-PBEsol" dos_at_fermi_per_ev_fu=1.95 crystal_system=tetragonal final_energy_ev_per_cell=-11.9 magmom_total_mub_per_fu=0.0 pbc="T T T"
Cu 0.000 0.000 4.368
Li 0.000 2.267 2.789
Li 2.267 0.000 2.789
Cs 0.000 0.000 0.000
Cu 2.267 2.267 1.209

=====

5
Lattice="-3.814 -1.164 -0.913 -0.678 -0.868 3.939 0.278 6.741 -0.590" Properties=species:S:1:pos:R:3 comment="SrNb2Ge2, relaxed, DFT GGA-PBEsol" dos_at_fermi_per_ev_fu=4.85 crystal_system=tetragonal final_energy_ev_per_cell=-35.5 magmom_total_mub_per_fu=0.0 pbc="T T T"
Sr 0.000 0.000 0.000
Nb -2.891 2.281 0.005
Ge -1.548 4.505 0.726
Ge -2.666 0.205 1.710
Nb -1.323 2.428 2.431

=====

6
Lattice="-0.258 -2.226 2.074 2.707 -1.119 -0.864 3.141 7.220 5.891" Properties=species:S:1:pos:R:3 comment="P2Pt, relaxed, DFT GGA-PBEsol" dos_at_fermi_per_ev_fu=1.22 crystal_system=tetragonal final_energy_ev_per_cell=-36.2 magmom_total_mub_per_fu=0.0 pbc="T T T"
P 2.722 2.510 5.280
Pt 0.000 0.000 0.000
P 1.893 -0.823 1.600
P 3.697 4.699 5.502
Pt 3.536 2.215 2.816
P 1.386 0.812 3.291

=====

4
Lattice="-2.282 -2.754 0.946 1.686 -2.229 -2.424 4.439 -1.989 4.918" Properties=species:S:1:pos:R:3 comment="YTe2Mo, relaxed, DFT GGA-PBEsol" e_form_raw_ev_per_atom=-0.403 dos_at_fermi_per_ev_fu=2.67 crystal_system=tetragonal polymorph_energy_ev_per_fu=0.00 magmom_total_mub_per_fu=0.0 pbc="T T T"
Te 1.072 -3.106 0.779
Te 4.146 -1.858 4.593
Y 2.199 -0.985 2.436
Mo 3.084 -4.007 3.007

=====

4
Lattice="3.270 0.000 0.000 0.000 5.123 -0.004 -1.635 -0.824 4.848" Properties=species:S:1:pos:R:3 comment="ScAg2Pb, relaxed, DFT GGA-PBEsol" dos_at_fermi_per_ev_fu=1.96 crystal_system=monoclinic final_energy_ev_per_cell=-17.8 magmom_total_mub_per_fu=0.0 pbc="T T T"
Ag 0.000 0.978 2.487
Sc 0.000 2.562 -0.002
Ag 1.635 3.321 2.357
Pb 1.635 0.000 0.000

=====

5
Lattice="4.527 0.000 0.000 0.000 4.527 0.000 0.000 0.000 4.567" Properties=species:S:1:pos:R:3 comment="LiLaS2Cl, relaxed, DFT GGA-PBEsol" e_form_raw_ev_per_atom=-1.401 dos_at_fermi_per_ev_fu=2.36 crystal_system=tetragonal magmom_total_mub_per_fu=0.0 pbc="T T T"
S 0.000 2.263 0.000
Cl 0.000 0.000 2.284
Li 0.000 0.000 0.000
S 2.263 0.000 0.000
La 2.263 2.263 2.284

=====

7
Lattice="4.577 0.000 0.000 0.000 4.577 0.000 0.000 0.000 7.352" Properties=species:S:1:pos:R:3 comment="DyIn5Rh, relaxed, DFT GGA-PBEsol" dos_at_fermi_per_ev_fu=2.17 crystal_system=tetragonal final_energy_ev_per_cell=-31.3 magmom_total_mub_per_fu=0.0 pbc="T T T"
Rh 0.000 0.000 3.676
Dy 0.000 0.000 0.000
In 2.288 2.288 0.000
In 0.000 2.288 5.149
In 2.288 0.000 5.149
In 2.288 0.000 2.203
In 0.000 2.288 2.203

=====

5
Lattice="4.091 0.000 0.000 0.000 4.091 0.000 0.000 0.000 5.351" Properties=species:S:1:pos:R:3 comment="GaFeHgN2, relaxed, DFT GGA-PBEsol" e_form_raw_ev_per_atom=2.239 dos_at_fermi_per_ev_fu=4.72 crystal_system=tetragonal magmom_total_mub_per_fu=5.2 pbc="T T T"
Fe 2.046 2.046 2.676
N 0.000 2.046 0.000
N 2.046 0.000 0.000
Ga 0.000 0.000 2.676
Hg 0.000 0.000 0.000

=====

4
Lattice="4.047 0.000 0.000 0.000 4.047 0.000 0.000 0.000 4.426" Properties=species:S:1:pos:R:3 comment="Ag2PtPb, relaxed, DFT GGA-PBEsol" dos_at_fermi_per_ev_fu=1.77 crystal_system=tetragonal final_energy_ev_per_cell=-17.3 magmom_total_mub_per_fu=0.0 pbc="T T T"
Ag 2.024 0.000 0.000
Ag 0.000 2.024 0.000
Pt 0.000 0.000 2.213
Pb 2.024 2.024 2.213